1.
LaRePt | PBE | optimized geometry

Cell lengths 4.3274, 4.3274, 4.4048 Å; angles 90.00, 90.00, 120.00 degrees
Last column: nearest neighbours and their distance in Å.
Atoms (fractional coordinates):
Re  0.3333  0.6667  0.5001  3 Pt 2.50
La  0.0000  0.0000  0.0000  6 Re 3.33, 6 Pt 3.33
Pt  0.6667  0.3333  0.5000  3 Re 2.50

Properties
As for the energy: -7.96 eV/atom. The theoretical density comes out at 12.1 Mg/m³. As for the density of states at the Fermi level: 4.23 states/eV/cell. As for the energy above the most stable polymorph in this dataset: 0.00 eV/f.u. The calculated formation energy comes out at -0.1523 eV per atom. Its crystal system is hexagonal. Its size of the total moment is 0.0 μB/f.u.


2.
LaRePt2 | PBE | optimized geometry

Cell lengths 5.9818, 5.9818, 5.9818 Å; angles 151.67, 131.18, 57.41 degrees
Last column: nearest neighbours and their distance in Å.
Atoms (fractional coordinates):
Pt  0.9782  0.9782  0.0000  4 Re 2.91, 4 Pt 2.92-2.93
Pt  0.7377  0.2377  0.5000  2 Re 2.68, 4 La 2.88, 4 Pt 2.92-2.93
La  0.2601  0.7601  0.5000  4 Pt 2.88, 2 La 2.93, 2 Re 3.13
Re  0.5241  0.5241  0.0000  6 Pt 2.68-2.91, 2 Re 2.93

Properties
As for the energy: -7.39 eV/atom. The theoretical density comes out at 15.6 Mg/m³. As for the density of states at the Fermi level: 4.25 states/eV/cell. As for the energy above the most stable polymorph in this dataset: 0.82 eV/f.u. The calculated formation energy comes out at -0.0248 eV per atom. Its crystal system is orthorhombic. Its size of the total moment is 0.0 μB/f.u.